First-principles (PBE) data for an optimized crystal structure of Na12Sb3Br5, as listed in Alexandria. Values from VASP.

Structure (Quantum ESPRESSO input):
```
&SYSTEM
  ibrav = 0, nat = 80, ntyp = 3
/
ATOMIC_SPECIES
Sb 121.76 Sb.upf
Br 79.90 Br.upf
Na 22.99 Na.upf
CELL_PARAMETERS angstrom
15.277 0.000 0.000
-5.092 14.403 0.000
-5.092 -7.202 12.473
ATOMIC_POSITIONS crystal
Sb 0.750 0.375 0.125
Sb 0.875 0.750 0.125
Sb 0.375 0.750 0.625
Sb 0.250 0.125 0.375
Sb 0.875 0.125 0.250
Sb 0.375 0.625 0.250
Sb 0.625 0.375 0.750
Sb 0.125 0.875 0.750
Sb 0.750 0.875 0.625
Sb 0.625 0.250 0.375
Sb 0.125 0.250 0.875
Sb 0.250 0.625 0.875
Br 0.125 0.375 0.250
Br 0.000 0.500 0.000
Br 0.000 0.000 0.000
Br 0.375 0.250 0.125
Br 0.500 0.000 0.500
Br 0.500 0.500 0.000
Br 0.125 0.750 0.375
Br 0.750 0.125 0.875
Br 0.750 0.625 0.375
Br 0.375 0.125 0.750
Br 0.625 0.875 0.250
Br 0.500 0.500 0.500
Br 0.500 0.000 0.000
Br 0.000 0.000 0.500
Br 0.250 0.375 0.625
Br 0.250 0.875 0.125
Br 0.000 0.500 0.500
Br 0.875 0.250 0.625
Br 0.625 0.750 0.875
Br 0.875 0.625 0.750
Na 0.725 0.136 0.053
Na 0.328 0.553 0.417
Na 0.947 0.364 0.275
Na 0.553 0.225 0.136
Na 0.589 0.725 0.672
Na 0.947 0.583 0.172
Na 0.328 0.775 0.411
Na 0.083 0.911 0.136
Na 0.583 0.947 0.672
Na 0.725 0.589 0.172
Na 0.775 0.447 0.364
Na 0.828 0.917 0.053
Na 0.136 0.725 0.553
Na 0.364 0.417 0.089
Na 0.089 0.917 0.364
Na 0.411 0.136 0.583
Na 0.089 0.172 0.225
Na 0.447 0.672 0.083
Na 0.828 0.911 0.275
Na 0.136 0.411 0.083
Na 0.364 0.947 0.775
Na 0.583 0.636 0.411
Na 0.917 0.828 0.553
Na 0.775 0.328 0.911
Na 0.417 0.364 0.589
Na 0.083 0.172 0.447
Na 0.225 0.672 0.089
Na 0.172 0.089 0.725
Na 0.636 0.053 0.225
Na 0.864 0.589 0.917
Na 0.553 0.328 0.917
Na 0.589 0.864 0.417
Na 0.911 0.828 0.775
Na 0.911 0.083 0.636
Na 0.864 0.275 0.447
Na 0.172 0.083 0.947
Na 0.636 0.583 0.911
Na 0.417 0.053 0.328
Na 0.275 0.411 0.828
Na 0.225 0.553 0.636
Na 0.917 0.089 0.864
Na 0.672 0.225 0.589
Na 0.447 0.775 0.864
Na 0.053 0.417 0.828
Na 0.411 0.275 0.328
Na 0.053 0.636 0.725
Na 0.672 0.447 0.583
Na 0.275 0.864 0.947
```

Values from the calculation:
* formation energy without anion corrections: -0.86 eV/atom
* V: 2745 Å³ per cell
* symmetry: Ia-3d, No. 230
* total magnetic moment: 2.1 μB/f.u.
* DOS at the Fermi energy: 0.396 states/eV per atom
* VASP energy: -2.69 eV per atom
* mass density: 2.519 Mg/m³